## one
First-principles (GGA-PBEsol) data for a geometry-optimized Al5In structure, as listed in the Alexandria database.

Results
Symmetry: No. 65
DOS at the Fermi energy: 2.37 states/eV/f.u.

abc: 4.104 4.103 6.644
angles: 72.01 90.00 90.00
Sites, in units of the cell vectors:
In1 0.000 0.500 0.000
Al1 0.000 0.827 0.346
Al2 0.000 0.173 0.654
Al3 0.500 0.673 0.654
Al4 0.500 0.327 0.346
Al5 0.500 0.000 0.000



## two
First-principles (GGA-PBEsol) data for a geometry-optimized Al5In structure, as listed in the Alexandria database.

Results
Symmetry: No. 123
DOS at the Fermi energy: 2.38 states/eV/f.u.

abc: 2.961 2.961 12.164
angles: 90.00 90.00 90.00
Sites, in units of the cell vectors:
Al1 0.500 0.500 0.656
Al2 0.000 0.000 0.500
Al3 0.500 0.500 0.344
Al4 0.000 0.000 0.811
Al5 0.000 0.000 0.189
In1 0.500 0.500 0.000



## three
First-principles (GGA-PBEsol) data for a geometry-optimized Al5In structure, as listed in the Alexandria database.

Results
Symmetry: No. 38
DOS at the Fermi energy: 2.80 states/eV/f.u.

abc: 2.929 4.678 8.043
angles: 90.00 100.49 90.00
Sites, in units of the cell vectors:
In1 0.108 0.500 0.216
Al1 0.679 0.000 0.358
Al2 0.333 0.000 0.666
Al3 0.438 0.500 0.875
Al4 0.785 0.500 0.571
Al5 0.991 0.000 0.981



It comes down to two, which is 21 meV per atom more stable than the next structure.



## one
First-principles (GGA-PBEsol) data for a geometry-optimized Al2InP structure, as listed in the Alexandria database.

Results
Symmetry: No. 44
DOS at the Fermi energy: 1.39 states/eV/f.u.

abc: 3.464 4.146 5.882
angles: 110.64 107.13 90.00
Sites, in units of the cell vectors:
P1 0.270 0.770 0.540
Al1 0.943 0.943 0.885
Al2 0.747 0.247 0.495
In1 0.540 0.540 0.080



## two
First-principles (GGA-PBEsol) data for a geometry-optimized Al2InP structure, as listed in the Alexandria database.

Results
Symmetry: No. 8
DOS at the Fermi energy: 1.41 states/eV/f.u.

abc: 3.536 4.837 5.250
angles: 109.29 90.00 111.44
Sites, in units of the cell vectors:
Al1 0.928 0.857 0.837
Al2 0.787 0.575 0.263
P1 0.230 0.460 0.924
In1 0.554 0.109 0.476



It comes down to two, which is 29 meV per atom more stable than the next structure.



## one
First-principles (GGA-PBEsol) data for a geometry-optimized AlInP2 structure, as listed in the Alexandria database.

Results
Symmetry: No. 65
DOS at the Fermi energy: 1.97 states/eV/f.u.

abc: 3.295 3.295 7.337
angles: 90.00 90.00 112.27
Sites, in units of the cell vectors:
P1 0.000 0.000 0.715
P2 0.000 0.000 0.285
In1 0.500 0.500 0.000
Al1 0.500 0.500 0.500



## two
First-principles (GGA-PBEsol) data for a geometry-optimized AlInP2 structure, as listed in the Alexandria database.

Results
Symmetry: No. 115
DOS at the Fermi energy: 0.00 states/eV/f.u.

abc: 4.004 4.003 5.661
angles: 90.00 90.00 90.00
Sites, in units of the cell vectors:
P1 0.000 0.125 0.022
P2 0.500 0.625 0.478
Al1 0.000 0.625 0.250
In1 0.500 0.125 0.750



## three
First-principles (GGA-PBEsol) data for a geometry-optimized AlInP2 structure, as listed in the Alexandria database.

Results
Symmetry: No. 160
DOS at the Fermi energy: 1.74 states/eV/f.u.

abc: 3.464 3.464 7.300
angles: 76.28 76.28 60.00
Sites, in units of the cell vectors:
P1 0.745 0.745 0.765
P2 0.015 0.015 0.956
Al1 0.487 0.487 0.540
In1 0.254 0.254 0.239



It comes down to two, which is 460 meV per atom more stable than the next structure.



## one
First-principles (GGA-PBEsol) data for a geometry-optimized AlInP2 structure, as listed in the Alexandria database.

Results
Symmetry: No. 122
DOS at the Fermi energy: 0.00 states/eV/f.u.

abc: 5.665 5.665 6.922
angles: 114.15 114.15 90.00
Sites, in units of the cell vectors:
Al1 0.500 0.500 0.000
Al2 0.750 0.250 0.500
P1 0.125 0.151 0.750
P2 0.625 0.599 0.750
P3 0.849 0.375 0.250
P4 0.401 0.875 0.250
In1 0.250 0.750 0.500
In2 0.000 0.000 0.000



## two
First-principles (GGA-PBEsol) data for a geometry-optimized AlInP2 structure, as listed in the Alexandria database.

Results
Symmetry: No. 225
DOS at the Fermi energy: 2.06 states/eV/f.u.

abc: 4.594 4.594 4.594
angles: 60.00 60.00 60.00
Sites, in units of the cell vectors:
P1 0.750 0.750 0.750
P2 0.250 0.250 0.250
Al1 0.500 0.500 0.500
In1 0.000 0.000 0.000



It comes down to one, which is 643 meV per atom more stable than the next structure.



## one
First-principles (GGA-PBEsol) data for a geometry-optimized Al2InPb structure, as listed in the Alexandria database.

Results
Symmetry: No. 139
DOS at the Fermi energy: 1.73 states/eV/f.u.

abc: 4.736 5.236 4.736
angles: 116.88 90.00 116.88
Sites, in units of the cell vectors:
Pb1 0.000 0.000 0.000
Al1 0.750 0.500 0.250
Al2 0.250 0.500 0.750
In1 0.500 0.000 0.500



## two
First-principles (GGA-PBEsol) data for a geometry-optimized Al2InPb structure, as listed in the Alexandria database.

Results
Symmetry: No. 47
DOS at the Fermi energy: 1.96 states/eV/f.u.

abc: 3.298 4.066 6.738
angles: 90.00 90.01 90.00
Sites, in units of the cell vectors:
Pb1 0.500 0.500 0.500
Al1 0.000 0.000 0.223
Al2 0.000 0.000 0.777
In1 0.500 0.500 0.000



It comes down to two, which is 17 meV per atom more stable than the next structure.



## one
First-principles (GGA-PBEsol) data for a geometry-optimized AlIn3S structure, as listed in the Alexandria database.

Results
Symmetry: No. 221
DOS at the Fermi energy: 3.33 states/eV/f.u.

abc: 5.161 5.161 5.161
angles: 90.00 90.00 90.00
Sites, in units of the cell vectors:
Al1 0.500 0.500 0.500
In1 0.000 0.000 0.500
In2 0.500 0.000 0.000
In3 0.000 0.500 0.000
S1 0.000 0.000 0.000



## two
First-principles (GGA-PBEsol) data for a geometry-optimized AlIn3S structure, as listed in the Alexandria database.

Results
Symmetry: No. 221
DOS at the Fermi energy: 1.97 states/eV/f.u.

abc: 5.177 5.177 5.177
angles: 90.00 90.00 90.00
Sites, in units of the cell vectors:
In1 0.500 0.000 0.000
In2 0.000 0.000 0.500
In3 0.000 0.500 0.000
Al1 0.000 0.000 0.000
S1 0.500 0.500 0.500



It comes down to two, which is 88 meV per atom more stable than the next structure.